No. 1
# Ce4InRh2 PBE optimized geometry
# DOS at the Fermi energy ... 68.51 states/eV per cell
# E_form ... -344 meV/atom
# Total moment ... 3.3 μB per formula unit
# Total energy ... -6.23 eV/atom
data_Ce4InRh2
_chemical_formula_sum 'Ce12 In3 Rh6'
_cell_length_a 4.8094
_cell_length_b 4.8094
_cell_length_c 28.1938
_cell_angle_alpha 90.00
_cell_angle_beta 90.00
_cell_angle_gamma 120.00
_space_group_name_H-M_alt 'R -3 m'
_space_group_IT_number 166
_space_group_name_Hall '-R 3 2"'
loop_
_atom_site_label
_atom_site_fract_x
_atom_site_fract_y
_atom_site_fract_z
_atom_site_occupancy
Ce1 0.0000 0.0000 0.1115 1
Ce2 0.0000 0.0000 0.2936 1
In1 0.0000 0.0000 0.5000 1
Rh1 0.0000 0.0000 0.3981 1

No. 2
# HfMn PBE optimized geometry
# DOS at the Fermi energy ... 17.71 states/eV per cell
# E_form ... 27 meV/atom
# Total moment ... 0.1 μB per formula unit
# Total energy ... -9.53 eV/atom
data_HfMn
_chemical_formula_sum 'Hf8 Mn8'
_cell_length_a 5.472
_cell_length_b 5.911
_cell_length_c 8.141
_cell_angle_alpha 90.00
_cell_angle_beta 90.00
_cell_angle_gamma 90.00
_space_group_name_H-M_alt 'P n m a'
_space_group_IT_number 62
loop_
_space_group_symop_operation_xyz
'x,y,z'
'-x,-y,-z'
'-x+1/2,-y,z+1/2'
'x+1/2,y,-z+1/2'
'x+1/2,-y+1/2,-z+1/2'
'-x+1/2,y+1/2,z+1/2'
'-x,y+1/2,-z'
'x,-y+1/2,z'
loop_
_atom_site_label
_atom_site_fract_x
_atom_site_fract_y
_atom_site_fract_z
_atom_site_occupancy
Hf1 0.001 0.250 0.246 1
Hf2 0.245 0.250 0.848 1
Mn1 0.244 0.079 0.546 1

No. 3
# PmY6Ho2Tm3 PBE optimized geometry
# DOS at the Fermi energy ... 35.24 states/eV per cell
# E_form ... 25 meV/atom
# Total moment ... 0.0 μB per formula unit
# Total energy ... -5.48 eV/atom
data_PmY6Ho2Tm3
_chemical_formula_sum 'Pm2 Y12 Ho4 Tm6'
_cell_length_a 6.149
_cell_length_b 10.640
_cell_length_c 11.770
_cell_angle_alpha 90.00
_cell_angle_beta 100.00
_cell_angle_gamma 90.00
_space_group_name_H-M_alt 'C 1 2/m 1'
_space_group_IT_number 12
loop_
_space_group_symop_operation_xyz
'x,y,z'
'-x,-y,-z'
'-x,y,-z'
'x,-y,z'
'x+1/2,y+1/2,z'
'-x+1/2,-y+1/2,-z'
'-x+1/2,y+1/2,-z'
'x+1/2,-y+1/2,z'
loop_
_atom_site_label
_atom_site_fract_x
_atom_site_fract_y
_atom_site_fract_z
_atom_site_occupancy
Pm1 0.000 0.000 0.000 1
Y1 0.249 0.000 0.748 1
Y2 0.249 0.333 0.748 1
Ho1 0.000 0.333 0.000 1
Tm1 0.000 0.167 0.500 1
Tm2 0.000 0.500 0.500 1

No. 4
# BiTeIrPd2 PBE optimized geometry
# DOS at the Fermi energy ... 6.56 states/eV per cell
# Total moment ... 0.9 μB per formula unit
# ΔE_f (raw) ... 1.19 eV/atom
# Total energy ... -4.07 eV/atom
data_BiTeIrPd2
_chemical_formula_sum 'Bi1 Te1 Ir1 Pd2'
_cell_length_a 4.837
_cell_length_b 4.837
_cell_length_c 5.877
_cell_angle_alpha 90.00
_cell_angle_beta 90.00
_cell_angle_gamma 90.00
_space_group_name_H-M_alt 'P 4/m m m'
_space_group_IT_number 123
_space_group_name_Hall '-P 4 2'
loop_
_atom_site_label
_atom_site_fract_x
_atom_site_fract_y
_atom_site_fract_z
_atom_site_occupancy
Bi1 0.000 0.000 0.000 1
Te1 0.000 0.000 0.500 1
Ir1 0.500 0.500 0.000 1
Pd1 0.000 0.500 0.500 1

No. 5
# ScMn2I PBE optimized geometry
# DOS at the Fermi energy ... 12.61 states/eV per cell
# Polymorph energy (0 for the lowest one) ... 0.0 meV per atom
# Total moment ... 7.9 μB per formula unit
# ΔE_f (raw) ... 0.52 eV/atom
# Total energy ... -6.03 eV/atom
data_ScMn2I
_chemical_formula_sum 'Sc4 Mn8 I4'
_cell_length_a 7.903
_cell_length_b 7.903
_cell_length_c 5.650
_cell_angle_alpha 90.00
_cell_angle_beta 90.00
_cell_angle_gamma 90.00
_space_group_name_H-M_alt 'I -4 2 d'
_space_group_IT_number 122
_space_group_name_Hall 'I -4 2bw'
loop_
_atom_site_label
_atom_site_fract_x
_atom_site_fract_y
_atom_site_fract_z
_atom_site_occupancy
Sc1 0.000 0.000 0.000 1
Mn1 0.228 0.250 0.625 1
I1 0.000 0.000 0.500 1

No. 6
# Sn6Se8Br PBE optimized geometry
# DOS at the Fermi energy ... 7.88 states/eV per cell
# Total moment ... 0.0 μB per formula unit
# ΔE_f (raw) ... -0.30 eV/atom
# Total energy ... -3.87 eV/atom
data_Sn6Se8Br
_chemical_formula_sum 'Sn6 Se8 Br1'
_cell_length_a 9.9330
_cell_length_b 9.9330
_cell_length_c 5.3859
_cell_angle_alpha 90.00
_cell_angle_beta 90.00
_cell_angle_gamma 120.00
_space_group_name_H-M_alt 'P -3'
_space_group_IT_number 147
loop_
_space_group_symop_operation_xyz
'x,y,z'
'-x,-y,-z'
'-y,x-y,z'
'y,-x+y,-z'
'-x+y,-x,z'
'x-y,x,-z'
loop_
_atom_site_label
_atom_site_fract_x
_atom_site_fract_y
_atom_site_fract_z
_atom_site_occupancy
Sn1 0.1319 0.7769 0.2342 1
Se1 0.0658 0.6874 0.7365 1
Se2 0.3333 0.6667 0.2692 1
Br1 0.0000 0.0000 0.0000 1

No. 7
# V2CrIn2 PBE optimized geometry
# DOS at the Fermi energy ... 7.12 states/eV per cell
# E_form ... 536 meV/atom
# Polymorph energy (0 for the lowest one) ... 12.7 meV per atom
# Total moment ... 0.1 μB per formula unit
# Total energy ... -6.13 eV/atom
data_V2CrIn2
_chemical_formula_sum 'V4 Cr2 In4'
_cell_length_a 7.203
_cell_length_b 7.203
_cell_length_c 3.569
_cell_angle_alpha 90.00
_cell_angle_beta 90.00
_cell_angle_gamma 90.00
_space_group_name_H-M_alt 'P 4/m b m'
_space_group_IT_number 127
_space_group_name_Hall '-P 4 2ab'
loop_
_atom_site_label
_atom_site_fract_x
_atom_site_fract_y
_atom_site_fract_z
_atom_site_occupancy
V1 0.163 0.337 0.000 1
Cr1 0.000 0.000 0.500 1
In1 0.140 0.640 0.500 1

No. 8
# Dy2FeCo2 PBE optimized geometry
# DOS at the Fermi energy ... 17.90 states/eV per cell
# E_form ... -167 meV/atom
# Total moment ... 3.3 μB per formula unit
# Total energy ... -6.54 eV/atom
data_Dy2FeCo2
_chemical_formula_sum 'Dy8 Fe4 Co8'
_cell_length_a 9.159
_cell_length_b 5.389
_cell_length_c 7.368
_cell_angle_alpha 90.00
_cell_angle_beta 102.77
_cell_angle_gamma 90.00
_space_group_name_H-M_alt 'C 1 2/c 1'
_space_group_IT_number 15
loop_
_space_group_symop_operation_xyz
'x,y,z'
'-x,-y,-z'
'-x,y,-z+1/2'
'x,-y,z+1/2'
'x+1/2,y+1/2,z'
'-x+1/2,-y+1/2,-z'
'-x+1/2,y+1/2,-z+1/2'
'x+1/2,-y+1/2,z+1/2'
loop_
_atom_site_label
_atom_site_fract_x
_atom_site_fract_y
_atom_site_fract_z
_atom_site_occupancy
Dy1 0.149 0.130 0.149 1
Fe1 0.000 0.383 0.750 1
Co1 0.133 0.364 0.501 1

No. 9
# HfTc2 PBE optimized geometry
# DOS at the Fermi energy ... 12.41 states/eV per cell
# E_form ... -360 meV/atom
# Polymorph energy (0 for the lowest one) ... 0.0 meV per atom
# Total moment ... 0.0 μB per formula unit
# Total energy ... -10.59 eV/atom
data_HfTc2
_chemical_formula_sum 'Hf4 Tc8'
_cell_length_a 5.2207
_cell_length_b 5.2207
_cell_length_c 8.6473
_cell_angle_alpha 90.00
_cell_angle_beta 90.00
_cell_angle_gamma 120.00
_space_group_name_H-M_alt 'P 63/m m c'
_space_group_IT_number 194
_space_group_name_Hall '-P 6c 2c'
loop_
_atom_site_label
_atom_site_fract_x
_atom_site_fract_y
_atom_site_fract_z
_atom_site_occupancy
Hf1 0.3333 0.6667 0.0647 1
Tc1 0.0000 0.0000 0.0000 1
Tc2 0.1720 0.3441 0.7500 1

No. 10
# Pm3IrN PBE optimized geometry
# DOS at the Fermi energy ... 15.23 states/eV per cell
# Polymorph energy (0 for the lowest one) ... 0.0 meV per atom
# Total moment ... 0.0 μB per formula unit
# ΔE_f (raw) ... -0.72 eV/atom
# Total energy ... -7.01 eV/atom
data_Pm3IrN
_chemical_formula_sum 'Pm12 Ir4 N4'
_cell_length_a 4.958
_cell_length_b 16.037
_cell_length_c 6.275
_cell_angle_alpha 90.00
_cell_angle_beta 90.00
_cell_angle_gamma 90.00
_space_group_name_H-M_alt 'A m a 2'
_space_group_IT_number 40
loop_
_space_group_symop_operation_xyz
'x,y,z'
'-x,-y,z'
'-x+1/2,y,z'
'x+1/2,-y,z'
'x,y+1/2,z+1/2'
'-x,-y+1/2,z+1/2'
'-x+1/2,y+1/2,z+1/2'
'x+1/2,-y+1/2,z+1/2'
loop_
_atom_site_label
_atom_site_fract_x
_atom_site_fract_y
_atom_site_fract_z
_atom_site_occupancy
Pm1 0.250 0.070 0.000 1
Pm2 0.250 0.290 0.350 1
Pm3 0.250 0.418 0.921 1
Ir1 0.250 0.142 0.591 1
N1 0.250 0.417 0.547 1

No. 11
# ZnP2Rh2 PBE optimized geometry
# DOS at the Fermi energy ... 5.54 states/eV per cell
# E_form ... -182 meV/atom
# Polymorph energy (0 for the lowest one) ... 221.0 meV per atom
# Total moment ... 0.0 μB per formula unit
# Total energy ... -5.54 eV/atom
data_ZnP2Rh2
_chemical_formula_sum 'Zn2 P4 Rh4'
_cell_length_a 3.668
_cell_length_b 3.668
_cell_length_c 11.528
_cell_angle_alpha 90.00
_cell_angle_beta 90.00
_cell_angle_gamma 90.00
_space_group_name_H-M_alt 'I 4/m m m'
_space_group_IT_number 139
_space_group_name_Hall '-I 4 2'
loop_
_atom_site_label
_atom_site_fract_x
_atom_site_fract_y
_atom_site_fract_z
_atom_site_occupancy
Zn1 0.000 0.000 0.000 1
P1 0.000 0.500 0.250 1
Rh1 0.000 0.000 0.377 1

No. 12
# ZrFeBr2 PBE optimized geometry
# DOS at the Fermi energy ... 5.68 states/eV per cell
# Polymorph energy (0 for the lowest one) ... 590.5 meV per atom
# Total moment ... 2.6 μB per formula unit
# ΔE_f (raw) ... 0.15 eV/atom
# Total energy ... -4.94 eV/atom
data_ZrFeBr2
_chemical_formula_sum 'Zr1 Fe1 Br2'
_cell_length_a 3.471
_cell_length_b 3.471
_cell_length_c 6.373
_cell_angle_alpha 90.00
_cell_angle_beta 90.00
_cell_angle_gamma 90.00
_space_group_name_H-M_alt 'P 4/m m m'
_space_group_IT_number 123
_space_group_name_Hall '-P 4 2'
loop_
_atom_site_label
_atom_site_fract_x
_atom_site_fract_y
_atom_site_fract_z
_atom_site_occupancy
Zr1 0.000 0.000 0.000 1
Fe1 0.000 0.000 0.500 1
Br1 0.500 0.500 0.247 1

> The lowest DOS at the Fermi energy belongs to which entry?

ZnP2Rh2